Record 1
MgZn2GeIr4, optimized geometry, DFT GGA-PBE; uncorrected energy = -5.803 eV per atom; M_tot = 0.0 μB per formula unit; volume = 14.24 Å³ per atom
1.0
4.311 0.000 0.000
0.000 4.311 0.000
0.000 0.000 6.130
Mg Zn Ge Ir
1 2 1 4
Cartesian
0.000 0.000 0.000
0.000 0.000 3.065
2.156 2.156 0.000
2.156 2.156 3.065
0.000 2.156 1.596
0.000 2.156 4.534
2.156 0.000 1.596
2.156 0.000 4.534


Record 2
Dy4Lu3Te2Pd2, optimized geometry, DFT GGA-PBE; uncorrected energy = -5.245 eV per atom; M_tot = 0.0 μB per formula unit; energy relative to the lowest polymorph listed for this composition = 18 meV per atom; volume = 26.60 Å³ per atom
1.0
-1.952 7.774 4.820
1.952 -7.774 4.820
1.952 7.774 -4.820
Dy Lu Te Pd
4 3 2 2
Cartesian
0.000 2.007 0.000
0.000 4.934 1.990
0.000 13.542 0.000
0.000 10.615 1.990
1.952 -2.210 3.375
1.952 2.210 3.375
0.000 0.000 5.592
0.000 0.000 2.373
0.000 7.774 3.321
1.952 4.145 0.067
0.000 3.629 4.888


Record 3
CdGePt5, optimized geometry, DFT GGA-PBE; uncorrected energy = -5.395 eV per atom; M_tot = 0.0 μB per formula unit; volume = 16.80 Å³ per atom
1.0
4.008 0.000 0.000
0.000 4.008 0.000
0.000 0.000 7.322
Cd Ge Pt
1 1 5
Cartesian
0.000 0.000 0.000
2.004 2.004 3.661
0.000 2.004 2.105
0.000 2.004 5.217
2.004 0.000 2.105
2.004 0.000 5.217
2.004 2.004 0.000


Record 4
ErLu2ScIn2, optimized geometry, DFT GGA-PBE; uncorrected energy = -4.577 eV per atom; M_tot = 0.8 μB per formula unit; volume = 25.60 Å³ per atom
1.0
5.200 0.000 0.000
-2.600 4.503 0.000
0.000 0.000 6.560
Er Lu Sc In
1 2 1 2
Cartesian
0.000 0.000 0.000
2.600 1.501 1.680
2.600 1.501 4.880
0.000 3.002 3.280
0.000 0.000 3.280
0.000 3.002 0.000


Record 5
BeZnCoAg, optimized geometry, DFT GGA-PBE; uncorrected energy = -3.603 eV per atom; M_tot = 0.2 μB per formula unit; energy relative to the lowest polymorph listed for this composition = 0 meV per atom; volume = 12.40 Å³ per atom
1.0
0.000 2.916 2.916
2.916 0.000 2.916
2.916 2.916 0.000
Be Zn Co Ag
1 1 1 1
Cartesian
0.000 0.000 0.000
2.916 2.916 2.916
4.375 4.375 4.375
1.458 1.458 1.458


Record 6
LiTl2Ir, optimized geometry, DFT GGA-PBE; uncorrected energy = -3.523 eV per atom; M_tot = 0.0 μB per formula unit; volume = 19.95 Å³ per atom
1.0
0.000 3.417 3.417
3.417 0.000 3.417
3.417 3.417 0.000
Li Tl Ir
1 2 1
Cartesian
0.000 0.000 0.000
3.417 3.417 3.417
5.126 5.126 5.126
1.709 1.709 1.709


Record 7
NaTmIr, optimized geometry, DFT GGA-PBE; uncorrected energy = -4.929 eV per atom; M_tot = 0.0 μB per formula unit; energy relative to the lowest polymorph listed for this composition = 0 meV per atom; volume = 23.76 Å³ per atom
1.0
0.000 3.291 3.291
3.291 0.000 3.291
3.291 3.291 0.000
Na Tm Ir
1 1 1
Cartesian
0.000 0.000 0.000
3.291 3.291 3.291
1.645 1.645 1.645


Record 8
InCuTe2WS, optimized geometry, DFT GGA-PBE; uncorrected energy = -4.965 eV per atom; M_tot = 0.0 μB per formula unit; volume = 22.24 Å³ per atom
1.0
1.838 -7.666 0.000
1.838 7.666 0.000
0.000 0.000 9.468
In Cu Te W S
2 2 4 2 2
Cartesian
1.838 4.198 7.101
1.838 -4.198 2.367
1.838 7.336 2.367
1.838 -7.336 7.101
1.838 5.595 0.458
1.838 5.595 4.277
1.838 -5.595 5.192
1.838 -5.595 9.011
1.838 0.000 0.000
1.838 0.000 4.734
1.838 0.956 2.367
1.838 -0.956 7.101


Record 9
HfTlSi2, optimized geometry, DFT GGA-PBE; uncorrected energy = -5.225 eV per atom; M_tot = 0.0 μB per formula unit; volume = 19.98 Å³ per atom
1.0
0.000 3.419 3.419
3.419 0.000 3.419
3.419 3.419 0.000
Hf Tl Si
1 1 2
Cartesian
0.000 0.000 0.000
5.128 5.128 5.128
1.709 1.709 1.709
3.419 3.419 3.419


Record 10
GdHo2Fe8Ni, optimized geometry, DFT GGA-PBE; uncorrected energy = -7.260 eV per atom; M_tot = 16.8 μB per formula unit; volume = 14.86 Å³ per atom; energy of formation from the pure elements = -106 meV/atom
1.0
2.517 1.453 8.126
-2.517 1.453 8.126
0.000 -2.906 8.126
Gd Ho Fe Ni
1 2 8 1
Cartesian
0.000 0.000 0.000
0.000 0.000 3.459
0.000 0.000 20.919
-1.265 -0.730 10.116
0.000 0.000 8.120
0.000 -1.460 14.262
-1.265 0.730 14.262
1.265 -0.730 10.116
0.000 1.460 10.116
0.000 0.000 16.259
1.265 0.730 14.262
0.000 0.000 12.189


Record 11
PrTm2O3, optimized geometry, DFT GGA-PBE; uncorrected energy = -7.585 eV per atom; M_tot = 0.0 μB per formula unit; volume = 14.26 Å³ per atom
1.0
3.418 0.000 0.000
-1.709 2.960 0.000
0.000 0.000 8.456
Pr Tm O
1 2 3
Cartesian
0.000 0.000 0.000
0.000 1.973 5.602
1.709 0.987 2.854
0.000 0.000 4.228
0.000 1.973 1.764
1.709 0.987 6.692


Record 12
Er3Mg3Al2Cd, optimized geometry, DFT GGA-PBE; uncorrected energy = -3.269 eV per atom; M_tot = 0.0 μB per formula unit; volume = 23.61 Å³ per atom
1.0
7.392 0.000 0.000
-3.696 6.401 0.000
0.000 0.000 4.491
Er Mg Al Cd
3 3 2 1
Cartesian
-2.102 3.640 0.000
1.594 2.761 0.000
4.203 0.000 0.000
-0.910 1.576 2.246
1.820 0.000 2.246
2.786 4.825 2.246
0.000 4.268 2.246
3.696 2.134 2.246
0.000 0.000 0.000